Computed, not measured: ReAsAu2 at its PBEsol-relaxed geometry at the meta-GGA SCAN level of DFT.

Geometry as CIF:
```
data_ReAsAu2
_chemical_formula_sum 'Re1 As1 Au2'
_cell_length_a 6.5948
_cell_length_b 6.5948
_cell_length_c 6.5948
_cell_angle_alpha 156.52
_cell_angle_beta 139.41
_cell_angle_gamma 47.42
_symmetry_space_group_name_H-M 'P 1'
_symmetry_Int_Tables_number 1
_symmetry_space_group_name_Hall 'P 1'
loop_
_atom_site_label
_atom_site_fract_x
_atom_site_fract_y
_atom_site_fract_z
Re1 0.0000 0.0000 0.0000
As1 0.1779 0.6779 0.5000
Au1 0.4571 0.4571 0.0000
Au2 0.7947 0.2947 0.5000
```

Properties
Total DFT energy (no corrections) ... -228.03 eV/cell
Energy relative to the elements ... 0.393 eV/atom
Total moment ... 0.00 μB per formula unit
DOS(E_F) ... 0.55 states/eV per atom